Crystalline Co2HOs at its relaxed geometry. Source: Alexandria via LeMat-Bulk, functional PBE.

Results
N(E_F) (states/eV per cell): 10.81
Uncorrected energy (eV/atom): -7.13
Total moment (μB/f.u.): 2.28
Volume (A^3/atom): 9.54

```
Co2HOs
1.0
2.653 0.000 0.000
-1.327 2.298 0.000
0.000 0.000 18.768
Co H Os
6 3 3
Direct
0.000 0.000 0.000 Co
0.000 0.000 0.219 Co
0.333 0.667 0.667 Co
0.333 0.667 0.886 Co
0.667 0.333 0.333 Co
0.667 0.333 0.553 Co
0.000 0.000 0.609 H
0.333 0.667 0.276 H
0.667 0.333 0.942 H
0.000 0.000 0.777 Os
0.333 0.667 0.443 Os
0.667 0.333 0.110 Os
```